ScTlCdO3 after structural relaxation, computed with PBE.

Lattice parameters (Å, degrees): 7.312 7.312 8.718 90.00 90.00 156.40
Sites, in units of the cell vectors:
Sc 0.000 0.000 0.000
Sc 0.000 0.000 0.500
Tl 0.158 0.842 0.750
Tl 0.842 0.158 0.250
Cd 0.355 0.645 0.750
Cd 0.645 0.355 0.250
O 0.396 0.604 0.516
O 0.396 0.604 0.984
O 0.476 0.524 0.250
O 0.524 0.476 0.750
O 0.604 0.396 0.016
O 0.604 0.396 0.484

Final energy ... -5.55 eV per atom
Space group ... Cmcm (63)
Crystal system ... orthorhombic

=====

CdSeO3 after structural relaxation, computed with PBE.

Lattice parameters (Å, degrees): 4.177 5.442 6.237 90.00 107.44 90.00
Sites, in units of the cell vectors:
Cd 0.165 0.250 0.327
Cd 0.835 0.750 0.673
Se 0.411 0.250 0.861
Se 0.589 0.750 0.139
O 0.055 0.250 0.944
O 0.325 0.009 0.666
O 0.325 0.491 0.666
O 0.675 0.509 0.334
O 0.675 0.991 0.334
O 0.945 0.750 0.056

Final energy ... -4.76 eV per atom
Space group ... P2_1/m (11)
Crystal system ... monoclinic

=====

CdSeO3 after structural relaxation, computed with PBE.

Lattice parameters (Å, degrees): 5.746 12.741 8.538 90.00 101.37 90.00
Sites, in units of the cell vectors:
Cd 0.125 0.240 0.137
Cd 0.125 0.260 0.637
Cd 0.315 0.576 0.114
Cd 0.315 0.924 0.614
Cd 0.685 0.076 0.386
Cd 0.685 0.424 0.886
Cd 0.875 0.740 0.363
Cd 0.875 0.760 0.863
Se 0.083 0.534 0.729
Se 0.083 0.966 0.229
Se 0.471 0.662 0.535
Se 0.471 0.838 0.035
Se 0.529 0.162 0.965
Se 0.529 0.338 0.465
Se 0.917 0.034 0.771
Se 0.917 0.466 0.271
O 0.039 0.590 0.286
O 0.039 0.910 0.786
O 0.095 0.081 0.643
O 0.095 0.419 0.143
O 0.252 0.742 0.011
O 0.252 0.758 0.511
O 0.278 0.239 0.904
O 0.278 0.261 0.404
O 0.350 0.528 0.861
O 0.350 0.972 0.361
O 0.466 0.140 0.152
O 0.466 0.360 0.652
O 0.534 0.640 0.348
O 0.534 0.860 0.848
O 0.650 0.028 0.639
O 0.650 0.472 0.139
O 0.722 0.739 0.596
O 0.722 0.761 0.096
O 0.748 0.242 0.489
O 0.748 0.258 0.989
O 0.905 0.581 0.857
O 0.905 0.919 0.357
O 0.961 0.090 0.214
O 0.961 0.410 0.714

Final energy ... -4.84 eV per atom
Space group ... P2_1/c (14)
Crystal system ... monoclinic

=====

Cd3Se3O10 after structural relaxation, computed with PBE.

Lattice parameters (Å, degrees): 8.232 5.332 10.826 90.00 108.83 90.00
Sites, in units of the cell vectors:
Cd 0.005 0.000 0.129
Cd 0.026 0.512 0.385
Cd 0.369 0.478 0.197
Cd 0.631 0.978 0.803
Cd 0.974 0.012 0.615
Cd 0.995 0.500 0.871
Se 0.258 0.980 0.953
Se 0.285 0.033 0.435
Se 0.344 0.493 0.717
Se 0.656 0.993 0.283
Se 0.715 0.533 0.565
Se 0.742 0.480 0.047
O 0.085 0.881 0.823
O 0.123 0.148 0.491
O 0.164 0.222 0.019
O 0.168 0.821 0.316
O 0.209 0.331 0.774
O 0.225 0.751 0.056
O 0.246 0.676 0.592
O 0.275 0.293 0.339
O 0.462 0.677 0.842
O 0.474 0.292 0.675
O 0.526 0.792 0.325
O 0.538 0.177 0.158
O 0.725 0.793 0.661
O 0.754 0.176 0.408
O 0.775 0.251 0.944
O 0.791 0.831 0.226
O 0.832 0.321 0.684
O 0.836 0.722 0.981
O 0.877 0.648 0.509
O 0.915 0.381 0.177

Final energy ... -4.85 eV per atom
Space group ... P2_1 (4)
Crystal system ... monoclinic

=====

CdSeO3 after structural relaxation, computed with PBE.

Lattice parameters (Å, degrees): 6.267 8.089 5.328 90.00 90.00 90.00
Sites, in units of the cell vectors:
Cd 0.000 0.000 0.000
Cd 0.000 0.500 0.000
Cd 0.500 0.000 0.500
Cd 0.500 0.500 0.500
Se 0.023 0.250 0.485
Se 0.477 0.750 0.985
Se 0.523 0.250 0.015
Se 0.977 0.750 0.515
O 0.094 0.250 0.799
O 0.172 0.086 0.366
O 0.172 0.414 0.366
O 0.328 0.586 0.866
O 0.328 0.914 0.866
O 0.406 0.750 0.299
O 0.594 0.250 0.701
O 0.672 0.086 0.134
O 0.672 0.414 0.134
O 0.828 0.586 0.634
O 0.828 0.914 0.634
O 0.906 0.750 0.201

Final energy ... -4.83 eV per atom
Space group ... Pnma (62)
Crystal system ... orthorhombic

=====

Cd6SeO8 after structural relaxation, computed with PBE.

Lattice parameters (Å, degrees): 6.630 6.630 6.630 60.00 60.00 60.00
Sites, in units of the cell vectors:
Cd 0.000 0.000 0.500
Cd 0.000 0.500 0.000
Cd 0.000 0.500 0.500
Cd 0.500 0.000 0.000
Cd 0.500 0.000 0.500
Cd 0.500 0.500 0.000
Se 0.000 0.000 0.000
O 0.222 0.222 0.778
O 0.222 0.778 0.222
O 0.222 0.778 0.778
O 0.250 0.250 0.250
O 0.750 0.750 0.750
O 0.778 0.222 0.222
O 0.778 0.222 0.778
O 0.778 0.778 0.222

Final energy ... -4.15 eV per atom
Space group ... Fm-3m (225)
Crystal system ... cubic